Model P:
The following is a GGA-PBE calculation of TaBrCl2 after structural relaxation, from the Alexandria database.

The structure belongs to space group Pmmm (No. 47); the cell edges are 3.324, 4.794 and 4.841 Å and the angles 90.00°, 90.00° and 90.00°. The inequivalent atoms are Ta at (0.000, 0.000, 0.000), Br at (0.500, 0.000, 0.500), Cl at (0.000, 0.500, 0.500) and Cl at (0.500, 0.500, 0.000).

The calculation puts the size of the total moment at 0.16 μB/f.u.

=====

Model Q:
The following is a GGA-PBE calculation of TaBrCl2 after structural relaxation, from the Alexandria database.

The structure belongs to space group R3m (No. 160, hexagonal axes); the cell edges are 3.2575, 3.2575 and 27.8224 Å and the angles 90.00°, 90.00° and 120.00°. The inequivalent atoms are Ta at (0.0000, 0.0000, 0.0000), Br at (0.0000, 0.0000, 0.7339), Cl at (0.0000, 0.0000, 0.2714) and Cl at (0.0000, 0.0000, 0.4996).

The calculation puts the size of the total moment at 0.00 μB/f.u.

=====

Which of them is most stable, and which least? Most stable: model Q; least stable: model P.

=====

Model P:
The following is a GGA-PBE calculation of NiHgBPC after structural relaxation, from the Alexandria database.

The structure belongs to space group P3m1 (No. 156); the cell edges are 3.1216, 3.1216 and 7.7467 Å and the angles 90.00°, 90.00° and 120.00°. The inequivalent atoms are Ni at (0.0000, 0.0000, 0.0000), Hg at (0.6667, 0.3333, 0.7093), B at (0.6667, 0.3333, 0.4090), P at (0.3333, 0.6667, 0.3316) and C at (0.3333, 0.6667, 0.0955).

The calculation puts the size of the total moment at 0.00 μB/f.u.

=====

Model Q:
The following is a GGA-PBE calculation of NiHgBPC after structural relaxation, from the Alexandria database.

The structure belongs to space group Cm (No. 8); the cell edges are 7.732, 3.087 and 6.471 Å and the angles 90.00°, 103.26° and 90.00°. The inequivalent atoms are Ni at (0.000, 0.000, 0.000), Hg at (0.128, 0.500, 0.723), B at (0.263, 0.000, 0.222), P at (0.161, 0.500, 0.321) and C at (0.438, 0.000, 0.152).

The calculation puts the size of the total moment at 0.00 μB/f.u.

=====

Which of them is most stable, and which least? Most stable: model P; least stable: model Q.

=====

Model P:
The following is a GGA-PBE calculation of PmUS2 after structural relaxation, from the Alexandria database.

The structure belongs to space group P6_3/mmc (No. 194); the cell edges are 3.8890, 3.8890 and 13.4737 Å and the angles 90.00°, 90.00° and 120.00°. The inequivalent atoms are Pm at (0.3333, 0.6667, 0.2500), U at (0.0000, 0.0000, 0.0000) and S at (0.3333, 0.6667, 0.6192).

The calculation puts the size of the total moment at 2.90 μB/f.u.

=====

Model Q:
The following is a GGA-PBE calculation of PmUS2 after structural relaxation, from the Alexandria database.

The structure belongs to space group R-3m (No. 166, hexagonal axes); the cell edges are 3.9195, 3.9195 and 19.7022 Å and the angles 90.00°, 90.00° and 120.00°. The inequivalent atoms are Pm at (0.0000, 0.0000, 0.0000), U at (0.0000, 0.0000, 0.5000) and S at (0.0000, 0.0000, 0.2467).

The calculation puts the size of the total moment at 2.60 μB/f.u.

=====

Which of them is most stable, and which least? Most stable: model Q; least stable: model P.

=====

Model P:
The following is a GGA-PBE calculation of KP3 after structural relaxation, from the Alexandria database.

The structure belongs to space group Pmmn (No. 59, origin choice 2); the cell edges are 5.185, 6.118 and 6.751 Å and the angles 90.00°, 90.00° and 90.00°. The inequivalent atoms are K at (0.250, 0.250, 0.083), P at (0.250, 0.568, 0.494) and P at (0.250, 0.750, 0.215).

The calculation puts the size of the total moment at 0.00 μB/f.u.

=====

Model Q:
The following is a GGA-PBE calculation of KP3 after structural relaxation, from the Alexandria database.

The structure belongs to space group I4/mmm (No. 139); the cell edges are 3.612, 3.612 and 26.664 Å and the angles 90.00°, 90.00° and 90.00°. The inequivalent atoms are K at (0.000, 0.000, 0.144), P at (0.000, 0.000, 0.438), P at (0.000, 0.500, 0.000) and P at (0.000, 0.500, 0.250).

The calculation puts the size of the total moment at 0.00 μB/f.u.

=====

Which of them is most stable, and which least? Most stable: model P; least stable: model Q.